The following is a DFT calculation (PBE) of a geometry-optimized CdCu2Hg structure.

a = 4.5436 Å, b = 4.5436 Å, c = 4.5436 Å
α = 60.00°, β = 60.00°, γ = 60.00°
Fractional positions:
Cd (0.0000, 0.0000, 0.0000)
Cu (0.2500, 0.2500, 0.2500)
Cu (0.7500, 0.7500, 0.7500)
Hg (0.5000, 0.5000, 0.5000)

Summary:
Energy of formation from the pure elements: 122 meV per atom
Density: 11.0 g/cm3
Space-group type: No. 225
Energy: -2.2307 eV per atom
Crystal system: cubic

***

The following is a DFT calculation (PBE) of a geometry-optimized Y2AlTcH structure.

a = 4.9726 Å, b = 4.9726 Å, c = 3.6435 Å
α = 90.00°, β = 90.00°, γ = 90.00°
Fractional positions:
Y (0.0000, 0.5000, 0.0000)
Y (0.5000, 0.0000, 0.0000)
Al (0.0000, 0.0000, 0.5000)
Tc (0.5000, 0.5000, 0.5000)
H (0.5000, 0.5000, 0.0000)

Summary:
Density: 5.6 g/cm3
Space-group type: No. 123
Energy: -6.3753 eV per atom
Crystal system: tetragonal

***

The following is a DFT calculation (PBE) of a geometry-optimized Pa2CuC2S2 structure.

a = 3.9376 Å, b = 3.9376 Å, c = 10.5847 Å
α = 90.00°, β = 90.00°, γ = 120.00°
Fractional positions:
Pa (0.3333, 0.6667, 0.1415)
Pa (0.6667, 0.3333, 0.8585)
Cu (0.0000, 0.0000, 0.5000)
C (0.3333, 0.6667, 0.9213)
C (0.6667, 0.3333, 0.0787)
S (0.0000, 0.0000, 0.2995)
S (0.0000, 0.0000, 0.7005)

Summary:
Raw formation energy: -0.607 eV per atom
Density: 7.2 g/cm3
Space-group type: No. 164
Energy: -7.7196 eV per atom
Crystal system: trigonal

***

The following is a DFT calculation (PBE) of a geometry-optimized Sm3ZrO6 structure.

a = 7.3345 Å, b = 7.3345 Å, c = 5.7017 Å
α = 90.00°, β = 90.00°, γ = 100.43°
Fractional positions:
Sm (0.1026, 0.8974, 0.5000)
Sm (0.1940, 0.4059, 0.4520)
Sm (0.4059, 0.1940, 0.9520)
Sm (0.5941, 0.8060, 0.4520)
Sm (0.8060, 0.5941, 0.9520)
Sm (0.8974, 0.1026, 0.0000)
Zr (0.3399, 0.6601, 0.9354)
Zr (0.6601, 0.3399, 0.4354)
O (0.0953, 0.5994, 0.7543)
O (0.1396, 0.1691, 0.7240)
O (0.1691, 0.1396, 0.2240)
O (0.2804, 0.7196, 0.2753)
O (0.4006, 0.9047, 0.7543)
O (0.4853, 0.5147, 0.6669)
O (0.5147, 0.4853, 0.1669)
O (0.5994, 0.0953, 0.2543)
O (0.7196, 0.2804, 0.7753)
O (0.8309, 0.8604, 0.7240)
O (0.8604, 0.8309, 0.2240)
O (0.9047, 0.4006, 0.2543)

Summary:
Raw formation energy: -3.247 eV per atom
Density: 7.0 g/cm3
Space-group type: No. 36
Energy: -8.4921 eV per atom
Crystal system: orthorhombic

***

The following is a DFT calculation (PBE) of a geometry-optimized NdBeCu4 structure.

a = 5.1693 Å, b = 5.1693 Å, c = 3.8865 Å
α = 90.00°, β = 90.00°, γ = 120.00°
Fractional positions:
Nd (0.0000, 0.0000, 0.0000)
Be (0.3333, 0.6667, 0.0000)
Cu (0.0105, 0.5053, 0.5000)
Cu (0.4947, 0.5053, 0.5000)
Cu (0.4947, 0.9895, 0.5000)
Cu (0.6667, 0.3333, 0.0000)

Summary:
Energy of formation from the pure elements: -121 meV per atom
Density: 7.5 g/cm3
Space-group type: No. 187
Energy: -4.2672 eV per atom
Crystal system: hexagonal
ΔE to the lowest computed polymorph: 0.000 eV/atom

***

The following is a DFT calculation (PBE) of a geometry-optimized Y2GaCl structure.

a = 8.3427 Å, b = 8.3427 Å, c = 8.3427 Å
α = 138.65°, β = 138.65°, γ = 59.91°
Fractional positions:
Y (0.1237, 0.6250, 0.9987)
Y (0.3750, 0.3737, 0.4987)
Y (0.6263, 0.1250, 0.0013)
Y (0.8750, 0.8763, 0.5013)
Ga (0.2500, 0.7500, 0.5000)
Ga (0.5000, 0.5000, 0.0000)
Cl (0.0000, 0.0000, 0.0000)
Cl (0.7500, 0.2500, 0.5000)

Summary:
Raw formation energy: -0.542 eV per atom
Density: 3.7 g/cm3
Space-group type: No. 122
Energy: -4.9928 eV per atom
Crystal system: tetragonal
ΔE to the lowest computed polymorph: 0.410 eV/atom

***

The following is a DFT calculation (PBE) of a geometry-optimized CdInAs2 structure.

a = 2.9298 Å, b = 5.4864 Å, c = 5.6793 Å
α = 90.00°, β = 90.18°, γ = 90.00°
Fractional positions:
Cd (0.0000, 0.0000, 0.0000)
In (0.4799, 0.5000, 0.9998)
As (0.2905, 0.0000, 0.5009)
As (0.3237, 0.5000, 0.4997)

Summary:
Energy of formation from the pure elements: 126 meV per atom
Density: 6.9 g/cm3
Space-group type: No. 6
Energy: -3.1117 eV per atom
Crystal system: monoclinic

***

The following is a DFT calculation (PBE) of a geometry-optimized Cr2GeS structure.

a = 6.9517 Å, b = 6.9517 Å, c = 6.9517 Å
α = 134.83°, β = 134.83°, γ = 65.80°
Fractional positions:
Cr (0.1006, 0.6250, 0.9756)
Cr (0.3750, 0.3506, 0.4756)
Cr (0.6494, 0.1250, 0.0244)
Cr (0.8750, 0.8994, 0.5244)
Ge (0.2500, 0.7500, 0.5000)
Ge (0.5000, 0.5000, 0.0000)
S (0.0000, 0.0000, 0.0000)
S (0.7500, 0.2500, 0.5000)

Summary:
Raw formation energy: 0.218 eV per atom
Density: 4.2 g/cm3
Space-group type: No. 122
Energy: -6.7801 eV per atom
Crystal system: tetragonal
ΔE to the lowest computed polymorph: 0.035 eV/atom